Entry 1:
# TbHo5Er2Mg

TbHo5Er2Mg after structural relaxation (PBE-GGA, Alexandria).

Geometry as POSCAR:
```
TbHo5Er2Mg
1.0
2.6878 -9.9423 0.0000
2.6878 9.9423 0.0000
0.0000 0.0000 10.4274
Tb Ho Er Mg
2 10 4 2
direct
0.2057 0.7943 0.5000
0.7943 0.2057 0.0000
0.0136 0.9864 0.5001
0.2903 0.7097 0.2013
0.2897 0.7103 0.7985
0.3830 0.6170 0.5001
0.4996 0.5004 0.2494
0.5004 0.4996 0.7494
0.6170 0.3830 0.0001
0.7103 0.2897 0.2985
0.7097 0.2903 0.7013
0.9864 0.0136 0.0001
0.1145 0.8855 0.2131
0.1144 0.8856 0.7872
0.8856 0.1144 0.2872
0.8855 0.1145 0.7131
0.4051 0.5949 0.9985
0.5949 0.4051 0.4985
```

Its space group is No. 36. For the magnetic moment, the calculation gives 0.00 μB/f.u. Its density of states at the Fermi level is 1.36 states/eV per atom. The calculation puts the electronic total energy at -74.5 eV for the cell shown. The energy of formation from the pure elements is 1.0 eV/f.u.

---

Entry 2:
# Tb2Ho4ErMg

Tb2Ho4ErMg after structural relaxation (PBE-GGA, Alexandria).

Geometry as POSCAR:
```
Tb2Ho4ErMg
1.0
4.9300 0.0000 0.0000
0.0000 4.9419 0.0000
0.0000 0.0000 9.9454
Tb Ho Er Mg
2 4 1 1
direct
0.0000 0.0000 0.0000
0.5000 0.5000 0.5000
0.0000 0.5000 0.2490
0.0000 0.5000 0.7510
0.5000 0.0000 0.2491
0.5000 0.0000 0.7509
0.0000 0.0000 0.5000
0.5000 0.5000 0.0000
```

Its space group is No. 47. For the magnetic moment, the calculation gives 0.00 μB/f.u. Its density of states at the Fermi level is 1.48 states/eV per atom. The calculation puts the electronic total energy at -33.5 eV for the cell shown. The energy of formation from the pure elements is 0.2 eV/f.u.

---

Entry 3:
# Tb2Ho2ErMg5

Tb2Ho2ErMg5 after structural relaxation (PBE-GGA, Alexandria).

Geometry as POSCAR:
```
Tb2Ho2ErMg5
1.0
10.5381 0.0000 0.0000
0.0000 10.5381 0.0000
0.0000 0.0000 5.0478
Tb Ho Er Mg
4 4 2 10
direct
0.1778 0.3222 0.0000
0.3222 0.8222 0.0000
0.6778 0.1778 0.0000
0.8222 0.6778 0.0000
0.1191 0.6191 0.0000
0.3809 0.1191 0.0000
0.6191 0.8809 0.0000
0.8809 0.3809 0.0000
0.0000 0.0000 0.0000
0.5000 0.5000 0.0000
0.0000 0.5000 0.5000
0.0699 0.8028 0.5000
0.1972 0.0699 0.5000
0.3028 0.5699 0.5000
0.4301 0.3028 0.5000
0.5000 0.0000 0.5000
0.5699 0.6972 0.5000
0.6972 0.4301 0.5000
0.8028 0.9301 0.5000
0.9301 0.1972 0.5000
```

Its space group is No. 127. For the magnetic moment, the calculation gives 0.00 μB/f.u. Its density of states at the Fermi level is 0.72 states/eV per atom. The calculation puts the electronic total energy at -60.4 eV for the cell shown. The energy of formation from the pure elements is 0.7 eV/f.u.

---

Entry 4:
# Tb6Ho2ErMg

Tb6Ho2ErMg after structural relaxation (PBE-GGA, Alexandria).

Geometry as POSCAR:
```
Tb6Ho2ErMg
1.0
4.9616 -9.7225 0.0000
4.9616 9.7225 0.0000
-1.0626 0.0000 6.4838
Tb Ho Er Mg
12 4 2 2
direct
0.0828 0.7922 0.9675
0.0836 0.5643 0.2799
0.2078 0.9172 0.5325
0.3034 0.4674 0.0231
0.4357 0.9164 0.2201
0.4674 0.3034 0.5231
0.5326 0.6966 0.4769
0.5643 0.0836 0.7799
0.6966 0.5326 0.9769
0.7922 0.0828 0.4675
0.9164 0.4357 0.7201
0.9172 0.2078 0.0325
0.1770 0.3465 0.5063
0.3465 0.1770 0.0063
0.6535 0.8230 0.9937
0.8230 0.6535 0.4937
0.0075 0.9925 0.2500
0.9925 0.0075 0.7500
0.2954 0.7046 0.7500
0.7046 0.2954 0.2500
```

Its space group is No. 15. For the magnetic moment, the calculation gives 0.03 μB/f.u. Its density of states at the Fermi level is 1.65 states/eV per atom. The calculation puts the electronic total energy at -84.0 eV for the cell shown. The energy of formation from the pure elements is 1.1 eV/f.u.

---

Entry 5:
# Tb2HoEr4Mg

Tb2HoEr4Mg after structural relaxation (PBE-GGA, Alexandria).

Geometry as POSCAR:
```
Tb2HoEr4Mg
1.0
4.9167 0.0000 0.0000
0.0000 4.9280 0.0000
0.0000 0.0000 9.9498
Tb Ho Er Mg
2 1 4 1
direct
0.0000 0.0000 0.0000
0.5000 0.5000 0.5000
0.0000 0.0000 0.5000
0.0000 0.5000 0.2490
0.0000 0.5000 0.7510
0.5000 0.0000 0.2490
0.5000 0.0000 0.7510
0.5000 0.5000 0.0000
```

Its space group is No. 47. For the magnetic moment, the calculation gives 0.00 μB/f.u. Its density of states at the Fermi level is 1.47 states/eV per atom. The calculation puts the electronic total energy at -33.5 eV for the cell shown. The energy of formation from the pure elements is 0.2 eV/f.u.

---

Entry 6:
# Tb2HoEr2Mg5

Tb2HoEr2Mg5 after structural relaxation (PBE-GGA, Alexandria).

Geometry as POSCAR:
```
Tb2HoEr2Mg5
1.0
10.5328 0.0000 0.0000
0.0000 10.5328 0.0000
0.0000 0.0000 5.0482
Tb Ho Er Mg
4 2 4 10
direct
0.1778 0.3222 0.0000
0.3222 0.8222 0.0000
0.6778 0.1778 0.0000
0.8222 0.6778 0.0000
0.0000 0.0000 0.0000
0.5000 0.5000 0.0000
0.1186 0.6186 0.0000
0.3814 0.1186 0.0000
0.6186 0.8814 0.0000
0.8814 0.3814 0.0000
0.0000 0.5000 0.5000
0.0711 0.8024 0.5000
0.1976 0.0711 0.5000
0.3024 0.5711 0.5000
0.4289 0.3024 0.5000
0.5000 0.0000 0.5000
0.5711 0.6976 0.5000
0.6976 0.4289 0.5000
0.8024 0.9289 0.5000
0.9289 0.1976 0.5000
```

Its space group is No. 127. For the magnetic moment, the calculation gives 0.00 μB/f.u. Its density of states at the Fermi level is 0.73 states/eV per atom. The calculation puts the electronic total energy at -60.5 eV for the cell shown. The energy of formation from the pure elements is 0.7 eV/f.u.

---

Entry 7:
# Ho2Er5ThMg

Ho2Er5ThMg after structural relaxation (PBE-GGA, Alexandria).

Geometry as POSCAR:
```
Ho2Er5ThMg
1.0
2.7138 -9.8928 0.0000
2.7138 9.8928 0.0000
0.0000 0.0000 10.3495
Ho Er Th Mg
4 10 2 2
direct
0.1148 0.8852 0.5000
0.1150 0.8850 0.9228
0.8852 0.1148 0.0000
0.8850 0.1150 0.4228
0.0139 0.9861 0.2113
0.2872 0.7128 0.5106
0.2880 0.7120 0.9119
0.3815 0.6185 0.2113
0.5004 0.4996 0.4605
0.4996 0.5004 0.9605
0.6185 0.3815 0.7113
0.7120 0.2880 0.4119
0.7128 0.2872 0.0106
0.9861 0.0139 0.7113
0.2011 0.7989 0.2113
0.7989 0.2011 0.7113
0.4040 0.5960 0.7097
0.5960 0.4040 0.2097
```

Its space group is No. 36. For the magnetic moment, the calculation gives 0.01 μB/f.u. Its density of states at the Fermi level is 1.50 states/eV per atom. The calculation puts the electronic total energy at -79.8 eV for the cell shown. The energy of formation from the pure elements is 1.1 eV/f.u.

---

Entry 8:
# Ho2Er2ThMg5

Ho2Er2ThMg5 after structural relaxation (PBE-GGA, Alexandria).

Geometry as POSCAR:
```
Ho2Er2ThMg5
1.0
10.4801 0.0000 0.0000
0.0000 10.4801 0.0000
0.0000 0.0000 5.1609
Ho Er Th Mg
4 4 2 10
direct
0.1777 0.3223 0.0000
0.3223 0.8223 0.0000
0.6777 0.1777 0.0000
0.8223 0.6777 0.0000
0.1189 0.6189 0.0000
0.3811 0.1189 0.0000
0.6189 0.8811 0.0000
0.8811 0.3811 0.0000
0.0000 0.0000 0.0000
0.5000 0.5000 0.0000
0.0000 0.5000 0.5000
0.0765 0.8025 0.5000
0.1975 0.0765 0.5000
0.3025 0.5765 0.5000
0.4235 0.3025 0.5000
0.5000 0.0000 0.5000
0.5765 0.6975 0.5000
0.6975 0.4235 0.5000
0.8025 0.9235 0.5000
0.9235 0.1975 0.5000
```

Its space group is No. 127. For the magnetic moment, the calculation gives 0.00 μB/f.u. Its density of states at the Fermi level is 0.80 states/eV per atom. The calculation puts the electronic total energy at -64.8 eV for the cell shown. The energy of formation from the pure elements is 1.3 eV/f.u.

---

Entry 9:
# HoErMgTi

HoErMgTi after structural relaxation (PBE-GGA, Alexandria).

Geometry as POSCAR:
```
HoErMgTi
1.0
7.3880 0.0000 0.0000
0.0000 7.3880 0.0000
0.0000 0.0000 7.3880
Ho Er Mg Ti
4 4 4 4
direct
0.0000 0.0000 0.0000
0.0000 0.5000 0.5000
0.5000 0.0000 0.5000
0.5000 0.5000 0.0000
0.0000 0.0000 0.5000
0.0000 0.5000 0.0000
0.5000 0.0000 0.0000
0.5000 0.5000 0.5000
0.2500 0.2500 0.2500
0.2500 0.7500 0.7500
0.7500 0.2500 0.7500
0.7500 0.7500 0.2500
0.2500 0.2500 0.7500
0.2500 0.7500 0.2500
0.7500 0.2500 0.2500
0.7500 0.7500 0.7500
```

Its space group is No. 216. For the magnetic moment, the calculation gives 2.20 μB/f.u. Its density of states at the Fermi level is 1.89 states/eV per atom. The calculation puts the electronic total energy at -72.2 eV for the cell shown. The energy of formation from the pure elements is 0.6 eV/f.u.